(1)
A plane-wave DFT calculation with PBE was carried out for crystalline TlSn4Cl8 at its relaxed geometry.

## Properties
M_tot   0.00 μB per formula unit
Formation energy (no corrections)   -0.86 eV per atom
Calculated density   3.493 g/cm³
ΔE to the lowest computed polymorph   0 meV/atom

Lattice parameters (Å, degrees): 13.3375 8.8628 10.1296 90.00 130.14 90.00
With the nearest neighbours (Å) after each atom.
Space group C2/m (No. 12)
Inequivalent atoms, fractional coordinates:
1 Tl 0.0000 0.0000 0.0000 x2  6 Cl 3.33-3.40, 2 Sn 3.36
2 Sn 0.0000 0.2411 0.5000 x4  6 Cl 2.82-3.03
3 Sn 0.2431 0.5000 0.9901 x4  3 Cl 2.73-2.82
4 Cl 0.0093 0.5000 0.3133 x4  3 Sn 2.73-3.03
5 Cl 0.0488 0.0000 0.3668 x4  2 Sn 2.82
6 Cl 0.2341 0.2718 0.1764 x8  3 Sn 2.82-3.07

=====

(2)
A plane-wave DFT calculation with PBE was carried out for crystalline Ho3Mg12Zr at its relaxed geometry.

## Properties
M_tot   0.00 μB per formula unit
Calculated density   3.738 g/cm³
Formation energy from the elements   -0.025 eV/atom

Lattice parameters (Å, degrees): 4.8215 4.8215 16.7717 90.00 90.00 90.00
With the nearest neighbours (Å) after each atom.
Space group P4/mmm (No. 123)
Inequivalent atoms, fractional coordinates:
1 Ho 0.0000 0.0000 0.0000 x1  12 Mg 3.25-3.41
2 Ho 0.0000 0.0000 0.2601 x2  12 Mg 3.20-3.41
3 Mg 0.0000 0.5000 0.1296 x4  8 Mg 3.23-3.41, 4 Ho 3.25-3.26
4 Mg 0.0000 0.5000 0.3856 x4  2 Zr 3.08, 8 Mg 3.08-3.41, 2 Ho 3.20
5 Mg 0.5000 0.5000 0.0000 x1  8 Mg 3.25, 4 Ho 3.41
6 Mg 0.5000 0.5000 0.2579 x2  8 Mg 3.22-3.23, 4 Ho 3.41
7 Mg 0.5000 0.5000 0.5000 x1  8 Mg 3.08, 4 Zr 3.41
8 Zr 0.0000 0.0000 0.5000 x1  12 Mg 3.08-3.41

=====

(3)
A plane-wave DFT calculation with PBE was carried out for crystalline BaHf3Hg at its relaxed geometry.

## Properties
M_tot   0.00 μB per formula unit
Calculated density   9.708 g/cm³
Formation energy from the elements   2.030 eV/atom

Lattice parameters (Å, degrees): 5.3061 5.3061 5.3061 90.00 90.00 90.00
With the nearest neighbours (Å) after each atom.
Space group Pm-3m (No. 221)
Inequivalent atoms, fractional coordinates:
1 Ba 0.0000 0.0000 0.0000 x1  6 Hf 2.65
2 Hf 0.0000 0.0000 0.5000 x3  2 Ba 2.65
3 Hg 0.5000 0.5000 0.5000 x1  12 Hf 3.75

=====

- Which value of M_tot does entry 1 give?
  0.00 μB per formula unit

=====

- Number 2 is which compound?
  Ho3Mg12Zr